1.
Computed, not measured: a geometry-optimized Be2MoOs structure at the PBE-GGA level of DFT.

## Properties
Calculated volume   12.224 Å³/atom
Formation energy from the elements   0.104 eV/atom
Space-group type   Pmmm
Energy above the most stable polymorph in this dataset   270 meV per atom

Structure (POSCAR):
```
Be2MoOs
1.0
3.101 0.000 0.000
0.000 4.184 0.000
0.000 0.000 3.769
Be Mo Os
2 1 1
Cartesian
0.000 0.000 0.000
1.550 2.092 0.000
1.550 0.000 1.885
0.000 2.092 1.885
```


2.
Computed, not measured: a geometry-optimized BeMoOs structure at the PBE-GGA level of DFT.

## Properties
Calculated volume   12.874 Å³/atom
Formation energy from the elements   -0.099 eV/atom
Space-group type   I4mm
Energy above the most stable polymorph in this dataset   142 meV per atom

Structure (POSCAR):
```
BeMoOs
1.0
-4.716 0.949 0.611
-3.821 -2.705 -1.265
4.320 -0.072 2.202
Be Mo Os
1 1 1
Cartesian
-0.110 -0.023 -0.008
-2.871 -0.591 -0.220
-5.556 -1.143 -0.426
```


3.
Computed, not measured: a geometry-optimized Be2MoOs structure at the PBE-GGA level of DFT.

## Properties
Calculated volume   11.678 Å³/atom
Formation energy from the elements   0.077 eV/atom
Space-group type   Cmmm
Energy above the most stable polymorph in this dataset   243 meV per atom

Structure (POSCAR):
```
Be2MoOs
1.0
4.010 -0.027 0.000
-0.629 3.960 0.000
0.000 0.000 2.944
Be Mo Os
2 1 1
Cartesian
0.000 0.000 0.000
1.690 1.967 0.000
2.005 -0.013 1.472
-0.315 1.980 1.472
```


4.
Computed, not measured: a geometry-optimized BeMoOs structure at the PBE-GGA level of DFT.

## Properties
Calculated volume   13.268 Å³/atom
Formation energy from the elements   -0.001 eV/atom
Space-group type   P3m1
Energy above the most stable polymorph in this dataset   240 meV per atom

Structure (POSCAR):
```
BeMoOs
1.0
4.065 0.000 0.000
-2.032 3.520 0.000
0.000 0.000 2.782
Be Mo Os
1 1 1
Cartesian
0.000 0.000 2.410
0.000 2.347 0.936
2.032 1.173 2.216
```


5.
Computed, not measured: a geometry-optimized BeMoOs structure at the PBE-GGA level of DFT.

## Properties
Calculated volume   12.453 Å³/atom
Formation energy from the elements   -0.241 eV/atom
Space-group type   Ima2
Energy above the most stable polymorph in this dataset   0 meV per atom

Structure (POSCAR):
```
BeMoOs
1.0
4.110 0.005 2.129
2.201 4.007 0.773
0.214 0.351 4.618
Be Mo Os
2 2 2
Cartesian
6.370 4.121 5.609
4.314 4.119 4.544
2.032 0.680 1.409
4.927 2.184 5.881
3.521 2.073 3.565
2.121 3.276 1.233
```


6.
Computed, not measured: a geometry-optimized Be2MoOs structure at the PBE-GGA level of DFT.

## Properties
Calculated volume   12.158 Å³/atom
Formation energy from the elements   0.099 eV/atom
Space-group type   P2/m
Energy above the most stable polymorph in this dataset   265 meV per atom

Structure (POSCAR):
```
Be2MoOs
1.0
-3.136 -0.994 1.702
1.396 -1.059 1.954
0.529 3.921 3.265
Be Mo Os
2 1 1
Cartesian
1.908 2.793 5.146
0.979 1.501 2.681
-1.087 0.219 2.156
-0.125 1.650 4.765
```


What did the fifth record say?
Computed, not measured: a geometry-optimized BeMoOs structure at the PBE-GGA level of DFT.

## Properties
Calculated volume   12.453 Å³/atom
Formation energy from the elements   -0.241 eV/atom
Space-group type   Ima2
Energy above the most stable polymorph in this dataset   0 meV per atom

Structure (POSCAR):
```
BeMoOs
1.0
4.110 0.005 2.129
2.201 4.007 0.773
0.214 0.351 4.618
Be Mo Os
2 2 2
Cartesian
6.370 4.121 5.609
4.314 4.119 4.544
2.032 0.680 1.409
4.927 2.184 5.881
3.521 2.073 3.565
2.121 3.276 1.233
```